This record from Alexandria via LeMat-Bulk describes a geometry-optimized Mg3Sc4Ag structure. The functional is PBE.

extended XYZ file:
```
8
Lattice="-0.446 -2.230 -2.723 2.417 -2.190 1.398 -10.248 -6.724 7.185" Properties=species:S:1:pos:R:3 pbc="T T T"
Sc -9.062 -5.946 6.353
Sc -1.186 -0.778 0.832
Sc -3.785 -2.484 2.654
Sc -6.462 -4.241 4.531
Mg -1.521 -3.855 1.095
Mg -4.138 -5.572 2.930
Mg -6.756 -7.290 4.765
Ag 0.985 -2.210 -0.663
```

Results
Its formation enthalpy at 0 K is -0.0969 eV per atom. The space group is P4/mmm, No. 123. Its total magnetic moment is 0.00 μB/f.u.

***

This record from Alexandria via LeMat-Bulk describes a geometry-optimized LaTi2O5 structure. The functional is PBE.

extended XYZ file:
```
16
Lattice="-0.178 -2.989 2.241 4.307 -1.709 -1.937 6.079 5.881 8.327" Properties=species:S:1:pos:R:3 pbc="T T T"
La 3.511 2.753 3.951
La 3.746 -3.016 -0.604
Ti 4.459 -0.460 2.862
Ti 2.799 0.197 0.484
Ti 6.375 1.394 5.487
Ti 6.961 4.224 6.186
O 6.153 -0.828 2.504
O 2.499 -0.991 -1.124
O 1.105 0.566 0.842
O 4.758 0.729 4.471
O 5.711 5.023 7.153
O 7.624 0.595 4.520
O 3.350 -1.461 1.438
O 7.380 2.437 6.957
O 3.907 1.198 1.908
O 5.956 3.181 4.716
```

Results
The space group is Pmmn, No. 59. Its total magnetic moment is 0.00 μB/f.u. The uncorrected formation energy comes out at -3.1644 eV per atom. The offset from the most stable computed form is 0 meV per atom.

***

This record from Alexandria via LeMat-Bulk describes a geometry-optimized BaAs2Pt structure. The functional is PBE.

extended XYZ file:
```
4
Lattice="-0.757 -3.447 -2.844 4.635 0.846 -2.259 2.462 -2.876 2.830" Properties=species:S:1:pos:R:3 pbc="T T T"
As 6.713 -2.061 0.711
As 0.730 -2.306 -1.011
Ba 3.612 -1.125 0.403
Pt 5.931 -3.031 -1.517
```

Results
Its formation enthalpy at 0 K is -0.6520 eV per atom. The space group is Pm, No. 6. Its total magnetic moment is 0.00 μB/f.u.

***

This record from Alexandria via LeMat-Bulk describes a geometry-optimized SmTh3O structure. The functional is PBE.

extended XYZ file:
```
5
Lattice="5.096 0.000 0.000 0.000 5.096 0.000 0.000 0.000 5.096" Properties=species:S:1:pos:R:3 pbc="T T T"
O 0.000 0.000 0.000
Sm 2.548 2.548 2.548
Th 0.000 2.548 0.000
Th 0.000 0.000 2.548
Th 2.548 0.000 0.000
```

Results
The space group is Pm-3m, No. 221. Its total magnetic moment is 0.00 μB/f.u. The uncorrected formation energy comes out at -1.0607 eV per atom.

***

This record from Alexandria via LeMat-Bulk describes a geometry-optimized CuP2Ir structure. The functional is PBE.

extended XYZ file:
```
4
Lattice="-1.167 -4.577 -1.074 3.033 -3.217 1.979 -3.156 3.534 1.007" Properties=species:S:1:pos:R:3 pbc="T T T"
Cu 0.974 -4.065 0.472
Ir 0.360 -1.600 1.697
P 1.847 -7.710 0.895
P -1.670 -2.574 0.205
```

Results
Its formation enthalpy at 0 K is 0.2132 eV per atom. The space group is Imm2, No. 44. Its total magnetic moment is 0.00 μB/f.u. The offset from the most stable computed form is 361 meV per atom.

***

This record from Alexandria via LeMat-Bulk describes a geometry-optimized TbCe2Ag2Hg2 structure. The functional is PBE.

extended XYZ file:
```
7
Lattice="4.881 0.000 0.000 2.440 4.227 0.000 2.440 1.409 8.078" Properties=species:S:1:pos:R:3 pbc="T T T"
Tb 0.000 0.000 0.000
Ce 2.440 1.409 4.657
Ce 7.321 4.227 3.421
Ag 4.881 2.818 1.969
Ag 4.881 2.818 6.109
Hg 7.321 4.227 6.628
Hg 2.440 1.409 1.450
```

Results
Its formation enthalpy at 0 K is -0.1875 eV per atom. The space group is R-3m, No. 166. Its total magnetic moment is 2.06 μB/f.u.

***

This record from Alexandria via LeMat-Bulk describes a geometry-optimized Cs3DySb2Te6 structure. The functional is PBE.

extended XYZ file:
```
12
Lattice="7.944 -0.001 0.000 -3.971 6.880 0.000 -1.325 -2.294 8.886" Properties=species:S:1:pos:R:3 pbc="T T T"
Cs -2.645 4.585 4.443
Cs 5.293 0.000 4.443
Cs 1.324 2.292 4.443
Dy 0.000 0.000 0.000
Sb 0.002 4.586 0.000
Sb 3.971 2.293 0.000
Te 3.971 2.292 7.222
Te 2.649 4.586 1.663
Te -1.323 2.293 1.664
Te 0.001 4.585 7.222
Te -0.001 -0.002 7.224
Te 2.647 0.000 1.664
```

Results
The space group is C2/m, No. 12. Its total magnetic moment is 0.00 μB/f.u. The uncorrected formation energy comes out at -0.8095 eV per atom.

***

This record from Alexandria via LeMat-Bulk describes a geometry-optimized SmIn2Ni2 structure. The functional is PBE.

extended XYZ file:
```
5
Lattice="-2.087 1.091 -3.342 1.955 -4.026 -2.534 -3.144 -2.286 3.717" Properties=species:S:1:pos:R:3 pbc="T T T"
Sm 0.000 0.000 0.000
In -1.180 -2.331 -2.524
In -2.095 -2.890 0.365
Ni -0.587 -4.515 -1.107
Ni -2.688 -0.706 -1.052
```

Results
Its formation enthalpy at 0 K is -0.3482 eV per atom. The space group is C2/m, No. 12. Its total magnetic moment is 0.00 μB/f.u.

***

This record from Alexandria via LeMat-Bulk describes a geometry-optimized Pr5InPt2 structure. The functional is PBE.

extended XYZ file:
```
16
Lattice="7.377 0.000 -3.482 -1.644 7.191 -3.482 -0.230 -0.288 9.068" Properties=species:S:1:pos:R:3 pbc="T T T"
Pr 2.535 4.835 2.302
Pr 4.221 6.950 -3.681
Pr 0.000 0.000 0.000
Pr 2.867 3.596 -3.482
Pr 1.282 -0.047 5.784
Pr 4.677 1.240 3.420
Pr -0.859 3.549 4.666
Pr 0.827 5.664 -1.317
Pr 6.363 3.354 -2.563
Pr 2.968 2.068 -0.199
In 4.185 5.249 -0.689
In 1.318 1.654 2.793
Pt 0.384 2.634 -1.741
Pt 4.455 0.961 -2.672
Pt 1.278 6.230 -4.292
Pt 5.349 4.557 -5.223
```

Results
Its formation enthalpy at 0 K is -0.7092 eV per atom. The space group is I4/mcm, No. 140. Its total magnetic moment is 0.00 μB/f.u.

***

This record from Alexandria via LeMat-Bulk describes a geometry-optimized TeC3Br structure. The functional is PBE.

extended XYZ file:
```
5
Lattice="4.128 0.000 0.000 0.000 4.128 0.000 0.000 0.000 4.128" Properties=species:S:1:pos:R:3 pbc="T T T"
C 0.000 2.064 0.000
C 0.000 0.000 2.064
C 2.064 0.000 0.000
Te 2.064 2.064 2.064
Br 0.000 0.000 0.000
```

Results
The space group is Pm-3m, No. 221. Its total magnetic moment is 0.00 μB/f.u. The uncorrected formation energy comes out at 3.3951 eV per atom. The offset from the most stable computed form is 242 meV per atom.

***

This record from Alexandria via LeMat-Bulk describes a geometry-optimized LiTlSi structure. The functional is PBE.

extended XYZ file:
```
6
Lattice="-4.435 -0.039 -2.059 3.677 -2.474 -2.066 -1.445 -4.822 3.203" Properties=species:S:1:pos:R:3 pbc="T T T"
Tl 0.612 -2.868 -1.263
Tl -2.815 -4.467 0.340
Si -0.111 -5.279 0.338
Si -2.092 -2.056 -1.261
Li 0.000 0.000 0.000
Li -0.722 -2.411 1.601
```

Results
The space group is P6_3/mmc, No. 194. Its total magnetic moment is 0.00 μB/f.u. The uncorrected formation energy comes out at 0.1760 eV per atom.

***

This record from Alexandria via LeMat-Bulk describes a geometry-optimized Cr2Sn2S structure. The functional is PBE.

extended XYZ file:
```
10
Lattice="6.467 0.000 0.000 0.000 6.467 0.000 0.000 0.000 4.600" Properties=species:S:1:pos:R:3 pbc="T T T"
Cr 2.182 5.416 0.000
Cr 5.416 4.286 0.000
Cr 4.286 1.052 0.000
Cr 1.052 2.182 0.000
S 0.000 0.000 0.000
S 3.234 3.234 0.000
Sn 1.036 4.270 2.300
Sn 4.270 5.432 2.300
Sn 5.432 2.198 2.300
Sn 2.198 1.036 2.300
```

Results
The space group is P4/mbm, No. 127. Its total magnetic moment is 6.23 μB/f.u. The uncorrected formation energy comes out at 0.1587 eV per atom. The offset from the most stable computed form is 0 meV per atom.